--- i ---
{
  "formula": "Sm2HoAl",
  "functional": "PBE",
  "state": "optimized geometry",
  "lattice": [[-2.819, 0.043, 4.613], [2.503, -0.909, 4.705], [0.661, 4.037, 3.534]],
  "species": ["Ho", "Sm", "Sm", "Al"],
  "frac_coords": [[0.000, 0.000, 0.000], [0.250, 0.250, 0.250], [0.750, 0.750, 0.750], [0.500, 0.500, 0.500]]
}

---

--- ii ---
{
  "formula": "Sm2HoAl",
  "functional": "PBE",
  "state": "optimized geometry",
  "lattice": [[-0.501, 0.191, 3.498], [-3.427, -0.758, -0.450], [1.889, -8.993, 0.762]],
  "species": ["Ho", "Sm", "Sm", "Al"],
  "frac_coords": [[0.500, 0.500, 0.500], [0.000, 0.000, 0.784], [0.000, 0.000, 0.216], [0.500, 0.500, 0.000]]
}

---

ii (93 meV per atom below the next structure)

---

--- i ---
{
  "formula": "Sm4Ho5Al",
  "functional": "PBE",
  "state": "optimized geometry",
  "lattice": [[-0.748, -5.185, 2.196], [6.530, -2.331, 4.069], [-3.187, 0.468, 7.366]],
  "species": ["Sm", "Sm", "Sm", "Sm", "Ho", "Ho", "Ho", "Ho", "Ho", "Al"],
  "frac_coords": [[0.456, 0.311, 0.689], [0.768, 0.689, 0.689], [0.145, 0.311, 0.311], [0.456, 0.689, 0.311], [0.782, 0.364, 0.000], [0.146, 0.000, 0.636], [0.782, 0.000, 0.364], [0.146, 0.636, 0.000], [0.657, 0.000, 0.000], [0.172, 0.000, 0.000]]
}

---

--- ii ---
{
  "formula": "Sm4Ho5Al",
  "functional": "PBE",
  "state": "optimized geometry",
  "lattice": [[-0.674, 0.895, 3.381], [0.880, -3.289, 1.046], [22.934, 7.003, 2.721]],
  "species": ["Sm", "Sm", "Sm", "Sm", "Ho", "Ho", "Ho", "Ho", "Ho", "Al"],
  "frac_coords": [[0.000, 0.000, 0.184], [0.000, 0.000, 0.395], [0.000, 0.000, 0.605], [0.000, 0.000, 0.816], [0.500, 0.500, 0.077], [0.500, 0.500, 0.289], [0.500, 0.500, 0.500], [0.500, 0.500, 0.711], [0.500, 0.500, 0.923], [0.000, 0.000, 0.000]]
}

---

ii (151 meV per atom below the next structure)

---

--- i ---
{
  "formula": "SmHoAl2",
  "functional": "PBE",
  "state": "optimized geometry",
  "lattice": [[5.141, 0.000, 0.000], [2.570, 4.452, 0.000], [2.570, 1.484, 4.197]],
  "species": ["Ho", "Sm", "Al", "Al"],
  "frac_coords": [[0.500, 0.500, 0.500], [0.000, 0.000, 0.000], [0.250, 0.250, 0.250], [0.750, 0.750, 0.750]]
}

---

--- ii ---
{
  "formula": "SmHoAl2",
  "functional": "PBE",
  "state": "optimized geometry",
  "lattice": [[-2.901, -1.953, 0.914], [0.290, -3.578, 0.422], [1.130, -0.625, 9.397]],
  "species": ["Ho", "Sm", "Al", "Al"],
  "frac_coords": [[0.000, 0.000, 0.000], [0.500, 0.500, 0.500], [0.748, 0.748, 0.755], [0.252, 0.252, 0.245]]
}

---

--- iii ---
{
  "formula": "SmHoAl2",
  "functional": "PBE",
  "state": "optimized geometry",
  "lattice": [[-3.101, -0.210, -1.875], [-0.944, -2.951, 1.892], [-3.262, 4.200, 4.924]],
  "species": ["Ho", "Sm", "Al", "Al"],
  "frac_coords": [[0.500, 0.500, 0.000], [0.500, 0.500, 0.500], [0.000, 0.000, 0.761], [0.000, 0.000, 0.239]]
}

---

iii (8 meV per atom below the next structure)

---

--- i ---
{
  "formula": "SmHo4Al2",
  "functional": "PBE",
  "state": "optimized geometry",
  "lattice": [[5.045, 0.000, 1.576], [2.276, 4.502, 1.576], [0.155, 0.095, 8.366]],
  "species": ["Ho", "Ho", "Ho", "Ho", "Sm", "Al", "Al"],
  "frac_coords": [[0.846, 0.846, 0.461], [0.154, 0.154, 0.539], [0.581, 0.581, 0.258], [0.419, 0.419, 0.742], [0.000, 0.000, 0.000], [0.718, 0.718, 0.846], [0.282, 0.282, 0.154]]
}

---

--- ii ---
{
  "formula": "SmHo4Al2",
  "functional": "PBE",
  "state": "optimized geometry",
  "lattice": [[5.624, 0.000, 0.000], [0.000, 5.624, 0.000], [-2.812, -2.812, 6.359]],
  "species": ["Sm", "Ho", "Ho", "Ho", "Ho", "Al", "Al"],
  "frac_coords": [[0.000, 0.000, 0.000], [0.750, 0.250, 0.500], [0.250, 0.750, 0.500], [0.500, 0.000, 0.000], [0.000, 0.500, 0.000], [0.615, 0.615, 0.230], [0.385, 0.385, 0.770]]
}

---

i (485 meV per atom below the next structure)

---

--- i ---
{
  "formula": "TbSmHoAl",
  "functional": "PBE",
  "state": "optimized geometry",
  "lattice": [[-0.620, -2.441, 2.465], [-2.365, -1.534, -2.114], [6.537, -5.220, -3.526]],
  "species": ["Tb", "Sm", "Ho", "Al"],
  "frac_coords": [[0.500, 0.500, 0.782], [0.000, 0.000, 0.073], [0.500, 0.500, 0.360], [0.000, 0.000, 0.569]]
}

---

--- ii ---
{
  "formula": "TbSmHoAl",
  "functional": "PBE",
  "state": "optimized geometry",
  "lattice": [[5.379, 0.000, 0.000], [2.689, 4.658, 0.000], [2.689, 1.553, 4.392]],
  "species": ["Tb", "Ho", "Sm", "Al"],
  "frac_coords": [[0.500, 0.500, 0.500], [0.750, 0.750, 0.750], [0.000, 0.000, 0.000], [0.250, 0.250, 0.250]]
}

---

i (133 meV per atom below the next structure)

---

--- i ---
{
  "formula": "SmHoAlZn",
  "functional": "PBE",
  "state": "optimized geometry",
  "lattice": [[-4.887, 1.437, -0.568], [-3.653, -3.537, -0.651], [-3.389, -0.904, 3.739]],
  "species": ["Zn", "Ho", "Sm", "Al"],
  "frac_coords": [[0.000, 0.000, 0.000], [0.250, 0.250, 0.250], [0.750, 0.750, 0.750], [0.500, 0.500, 0.500]]
}

---

--- ii ---
{
  "formula": "SmHoAlZn",
  "functional": "PBE",
  "state": "optimized geometry",
  "lattice": [[3.595, 0.000, 0.000], [0.000, 3.595, 0.000], [0.000, 0.000, 7.329]],
  "species": ["Sm", "Ho", "Al", "Zn"],
  "frac_coords": [[0.000, 0.000, 0.854], [0.000, 0.000, 0.363], [0.500, 0.500, 0.118], [0.500, 0.500, 0.592]]
}

---

ii (8 meV per atom below the next structure)

---

--- i ---
{
  "formula": "SrHoAl",
  "functional": "PBE",
  "state": "optimized geometry",
  "lattice": [[-1.676, -2.969, -1.548], [1.297, -2.171, 2.760], [-5.383, 3.832, 3.005]],
  "species": ["Sr", "Ho", "Al"],
  "frac_coords": [[0.020, 0.020, 0.041], [0.296, 0.296, 0.592], [0.683, 0.683, 0.367]]
}

---

--- ii ---
{
  "formula": "SrHoAl",
  "functional": "PBE",
  "state": "optimized geometry",
  "lattice": [[-1.629, -3.781, 2.827], [4.653, -1.791, 0.285], [1.284, 4.388, 6.609]],
  "species": ["Al", "Al", "Sr", "Sr", "Ho", "Ho"],
  "frac_coords": [[0.500, 0.000, 0.722], [0.000, 0.500, 0.278], [0.500, 0.000, 0.143], [0.000, 0.500, 0.857], [0.500, 0.500, 0.500], [0.000, 0.000, 0.500]]
}

---

ii (49 meV per atom below the next structure)

---

--- i ---
{
  "formula": "SrHo3Al8",
  "functional": "PBE",
  "state": "optimized geometry",
  "lattice": [[-0.755, 3.082, -4.635], [-3.457, -4.284, 1.118], [-5.508, 5.662, 4.663]],
  "species": ["Sr", "Ho", "Ho", "Ho", "Al", "Al", "Al", "Al", "Al", "Al", "Al", "Al"],
  "frac_coords": [[0.000, 0.000, 0.566], [0.667, 0.333, 0.432], [0.667, 0.333, 0.068], [0.000, 0.000, 0.933], [0.333, 0.667, 0.499], [0.333, 0.667, 0.001], [0.505, 0.010, 0.758], [0.505, 0.495, 0.758], [0.990, 0.495, 0.758], [0.162, 0.325, 0.243], [0.162, 0.838, 0.243], [0.675, 0.838, 0.243]]
}

---

--- ii ---
{
  "formula": "SrHo3Al8",
  "functional": "PBE",
  "state": "optimized geometry",
  "lattice": [[5.605, 0.000, 0.000], [2.802, 4.854, 0.000], [2.802, 1.618, 9.201]],
  "species": ["Sr", "Ho", "Ho", "Ho", "Al", "Al", "Al", "Al", "Al", "Al", "Al", "Al"],
  "frac_coords": [[0.875, 0.875, 0.375], [0.375, 0.375, 0.874], [0.000, 0.000, 0.000], [0.499, 0.499, 0.502], [0.942, 0.439, 0.180], [0.433, 0.937, 0.694], [0.439, 0.439, 0.180], [0.937, 0.937, 0.694], [0.187, 0.187, 0.438], [0.687, 0.687, 0.938], [0.439, 0.942, 0.180], [0.937, 0.433, 0.694]]
}

---

ii (7 meV per atom below the next structure)

---

--- i ---
{
  "formula": "TbHo2Al9",
  "functional": "PBE",
  "state": "optimized geometry",
  "lattice": [[-3.763, 1.870, 3.643], [-3.473, -3.562, 2.486], [3.344, -1.641, 8.543]],
  "species": ["Tb", "Ho", "Ho", "Al", "Al", "Al", "Al", "Al", "Al", "Al", "Al", "Al"],
  "frac_coords": [[0.000, 0.000, 0.000], [0.858, 0.858, 0.426], [0.142, 0.142, 0.574], [0.665, 0.665, 0.006], [0.335, 0.335, 0.994], [0.500, 0.500, 0.500], [0.413, 0.413, 0.251], [0.924, 0.413, 0.251], [0.413, 0.924, 0.251], [0.587, 0.587, 0.749], [0.587, 0.076, 0.749], [0.076, 0.587, 0.749]]
}

---

--- ii ---
{
  "formula": "TbHo2Al9",
  "functional": "PBE",
  "state": "optimized geometry",
  "lattice": [[4.254, 0.000, 0.000], [0.000, 4.254, 0.000], [0.000, 0.000, 12.762]],
  "species": ["Tb", "Ho", "Ho", "Al", "Al", "Al", "Al", "Al", "Al", "Al", "Al", "Al"],
  "frac_coords": [[0.000, 0.000, 0.000], [0.000, 0.000, 0.334], [0.000, 0.000, 0.666], [0.500, 0.500, 0.000], [0.500, 0.500, 0.334], [0.500, 0.500, 0.666], [0.500, 0.000, 0.168], [0.500, 0.000, 0.500], [0.500, 0.000, 0.832], [0.000, 0.500, 0.168], [0.000, 0.500, 0.500], [0.000, 0.500, 0.832]]
}

---

ii (53 meV per atom below the next structure)

---

--- i ---
{
  "formula": "Tb8HoAl2",
  "functional": "PBE",
  "state": "optimized geometry",
  "lattice": [[-0.651, -3.743, -4.107], [-1.437, -4.772, 6.959], [-5.799, 5.933, -2.106]],
  "species": ["Tb", "Tb", "Tb", "Tb", "Tb", "Tb", "Tb", "Tb", "Ho", "Al", "Al"],
  "frac_coords": [[0.888, 0.912, 0.675], [0.888, 0.675, 0.912], [0.295, 0.596, 0.596], [0.500, 0.777, 0.223], [0.500, 0.223, 0.777], [0.705, 0.404, 0.404], [0.112, 0.325, 0.088], [0.112, 0.088, 0.325], [0.500, 0.000, 0.000], [0.000, 0.308, 0.692], [0.000, 0.692, 0.308]]
}

---

--- ii ---
{
  "formula": "Tb8HoAl2",
  "functional": "PBE",
  "state": "optimized geometry",
  "lattice": [[-2.618, -3.884, -2.218], [-0.810, -3.639, 7.331], [-4.811, 7.146, -0.779]],
  "species": ["Tb", "Tb", "Tb", "Tb", "Tb", "Tb", "Tb", "Tb", "Ho", "Al", "Al"],
  "frac_coords": [[0.611, 0.470, 0.222], [0.313, 0.049, 0.625], [0.152, 0.220, 0.305], [0.055, 0.733, 0.110], [0.848, 0.780, 0.695], [0.687, 0.951, 0.375], [0.389, 0.530, 0.778], [0.945, 0.267, 0.890], [0.500, 0.000, 0.000], [0.224, 0.642, 0.447], [0.776, 0.358, 0.553]]
}

---

ii (110 meV per atom below the next structure)

---

--- i ---
{
  "formula": "TbHoAl",
  "functional": "PBE",
  "state": "optimized geometry",
  "lattice": [[-7.031, 1.406, 3.868], [7.247, -3.540, -1.155], [1.532, 3.099, 0.111]],
  "species": ["Tb", "Ho", "Al"],
  "frac_coords": [[0.918, 0.235, 0.153], [0.334, 0.027, 0.361], [0.463, 0.463, 0.925]]
}

---

--- ii ---
{
  "formula": "TbHoAl",
  "functional": "PBE",
  "state": "optimized geometry",
  "lattice": [[4.725, 0.000, 0.000], [0.000, 4.725, 0.000], [0.000, 0.000, 7.484]],
  "species": ["Ho", "Ho", "Al", "Al", "Tb", "Tb"],
  "frac_coords": [[0.000, 0.500, 0.742], [0.500, 0.000, 0.258], [0.500, 0.500, 0.000], [0.000, 0.000, 0.000], [0.500, 0.000, 0.728], [0.000, 0.500, 0.272]]
}

---

ii (49 meV per atom below the next structure)

---

--- i ---
{
  "formula": "TbHoAl",
  "functional": "PBE",
  "state": "optimized geometry",
  "lattice": [[-2.181, 1.710, -2.226], [2.132, -2.384, -3.920], [-3.992, -2.047, 2.339]],
  "species": ["Tb", "Ho", "Al"],
  "frac_coords": [[0.952, 0.000, 0.000], [0.392, 0.333, 0.667], [0.657, 0.667, 0.333]]
}

---

--- ii ---
{
  "formula": "TbHoAl",
  "functional": "PBE",
  "state": "optimized geometry",
  "lattice": [[-0.281, -0.062, 3.429], [-1.621, -3.029, -0.188], [6.850, -1.638, -1.195]],
  "species": ["Tb", "Ho", "Al"],
  "frac_coords": [[0.266, 0.266, 0.532], [0.968, 0.968, 0.937], [0.616, 0.616, 0.231]]
}

---

ii (98 meV per atom below the next structure)